No. 1
A plane-wave DFT calculation with PBE-GGA was carried out for a relaxed structure of TbSmGeBr2.

a = 4.199 Å, b = 4.199 Å, c = 10.157 Å
α = 90.00°, β = 90.00°, γ = 120.00°
Fractional positions:
Tb (0.000, 0.000, 0.000)
Sm (0.667, 0.333, 0.322)
Ge (0.333, 0.667, 0.158)
Br (0.000, 0.000, 0.499)
Br (0.667, 0.333, 0.829)

## Properties
- crystal system = trigonal


No. 2
A plane-wave DFT calculation with PBE-GGA was carried out for a relaxed structure of Zr2ScAl3Cu2Ni.

a = 3.920 Å, b = 6.601 Å, c = 6.601 Å
α = 119.41°, β = 90.00°, γ = 90.00°
Fractional positions:
Zr (0.000, 0.204, 0.796)
Zr (0.000, 0.796, 0.204)
Sc (0.000, 0.612, 0.612)
Al (0.500, 0.202, 0.447)
Al (0.500, 0.447, 0.202)
Al (0.500, 0.964, 0.964)
Cu (0.500, 0.539, 0.869)
Cu (0.500, 0.869, 0.539)
Ni (0.000, 0.207, 0.207)

## Properties
- crystal system = orthorhombic


No. 3
A plane-wave DFT calculation with PBE-GGA was carried out for a relaxed structure of TlTe5Pt3.

a = 6.233 Å, b = 6.233 Å, c = 7.538 Å
α = 90.00°, β = 90.00°, γ = 120.00°
Fractional positions:
Tl (0.000, 0.000, 0.000)
Te (0.000, 0.000, 0.500)
Te (0.333, 0.667, 0.236)
Te (0.333, 0.667, 0.764)
Te (0.667, 0.333, 0.236)
Te (0.667, 0.333, 0.764)
Pt (0.000, 0.500, 0.500)
Pt (0.500, 0.000, 0.500)
Pt (0.500, 0.500, 0.500)

## Properties
- crystal system = hexagonal


No. 4
A plane-wave DFT calculation with PBE-GGA was carried out for a relaxed structure of MgPaAsO.

a = 4.167 Å, b = 4.167 Å, c = 10.083 Å
α = 90.00°, β = 90.00°, γ = 90.00°
Fractional positions:
Mg (0.250, 0.250, 0.004)
Mg (0.750, 0.750, 0.996)
Pa (0.250, 0.750, 0.500)
Pa (0.750, 0.250, 0.500)
As (0.250, 0.250, 0.702)
As (0.750, 0.750, 0.298)
O (0.250, 0.750, 0.000)
O (0.750, 0.250, 0.000)

## Properties
- crystal system = tetragonal
- energy relative to the lowest polymorph listed for this composition (meV per atom) = 669


No. 5
A plane-wave DFT calculation with PBE-GGA was carried out for a relaxed structure of MgNpPd.

a = 4.624 Å, b = 4.624 Å, c = 4.624 Å
α = 60.00°, β = 60.00°, γ = 60.00°
Fractional positions:
Mg (0.000, 0.000, 0.000)
Np (0.750, 0.750, 0.750)
Pd (0.250, 0.250, 0.250)

## Properties
- crystal system = cubic


No. 6
A plane-wave DFT calculation with PBE-GGA was carried out for a relaxed structure of DyLu6I.

a = 6.950 Å, b = 6.950 Å, c = 5.557 Å
α = 90.00°, β = 90.00°, γ = 120.00°
Fractional positions:
Dy (0.000, 0.000, 0.000)
Lu (0.000, 0.500, 0.000)
Lu (0.332, 0.166, 0.500)
Lu (0.500, 0.000, 0.000)
Lu (0.500, 0.500, 0.000)
Lu (0.834, 0.166, 0.500)
Lu (0.834, 0.668, 0.500)
I (0.333, 0.667, 0.500)

## Properties
- crystal system = hexagonal


Computed values of raw total energy (unit: eV for the cell shown) for the preceding records, in sequence: -24.59, -52.34, -37.02, -45.59, -17.61, -33.27.